Computed, not measured: U2PaNiS5 after structural relaxation at the PBE-GGA level of DFT.

Structure (extended XYZ):
```
18
Lattice="-0.3592 -2.6682 -2.5363 8.0270 -0.4332 2.0160 -2.5502 -7.7296 8.4926" Properties=species:S:1:pos:R:3 pbc="T T T"
U 3.7500 -9.2800 6.5343
U 0.0629 -5.7925 6.0848
U 0.8560 -3.1017 3.1417
U 5.3309 -4.2015 0.9680
Pa 3.5303 -6.5482 3.6916
Pa 2.7232 -0.8399 0.4979
Ni -1.7039 -8.5921 6.5831
Ni 5.9780 -4.7957 4.1984
S 5.3625 -1.3895 0.7023
S 0.4963 -8.5992 6.2789
S 5.8291 -7.5178 7.0831
S 2.9710 -6.4594 6.3745
S 6.1698 -7.0168 3.8108
S 0.9186 -5.9152 3.3956
S 4.0778 -3.8793 3.5034
S -0.6974 -3.2705 0.8422
S 2.4154 -3.5568 0.7026
S 0.1610 -0.1371 0.1214
```

Summary:
The raw formation energy comes out at -1336.6 meV per atom. For the total energy, the calculation gives -7.84 eV/atom. Its space-group type is No. 36. As for the spin magnetization: 5.92 μB/f.u.

Computed, not measured: Na2TlIn after structural relaxation at the PBE-GGA level of DFT.

Structure (extended XYZ):
```
4
Lattice="5.3247 -0.1193 -0.1703 -2.7362 4.6861 0.0986 -2.7354 -1.4937 4.4432" Properties=species:S:1:pos:R:3 pbc="T T T"
Na -4.1221 2.3920 4.2245
Na 1.2763 -0.8086 2.9545
Tl 1.2760 2.2792 0.7836
In -1.3862 0.7984 1.9517
```

Summary:
For the total energy, the calculation gives -2.06 eV/atom. Its space-group type is No. 5. As for the spin magnetization: 0.00 μB/f.u. The polymorph energy (0 for the lowest one) comes out at 0.000 eV per atom. The formation energy from the elements comes out at -0.12 eV/atom.

Computed, not measured: Rb2TbCd2Te4 after structural relaxation at the PBE-GGA level of DFT.

Structure (extended XYZ):
```
9
Lattice="-2.4797 1.0145 3.6281 6.2318 -3.7871 5.3182 2.6453 8.1020 -3.2609" Properties=species:S:1:pos:R:3 pbc="T T T"
Rb 3.9039 0.0387 2.6574
Rb 2.4935 5.2907 3.0280
Tb 0.0000 0.0000 0.0000
Cd -0.6730 3.7256 1.3015
Cd 7.0703 1.6038 4.3839
Te 1.8764 2.4241 0.6046
Te 4.5209 2.9053 5.0808
Te 3.6428 -2.0736 5.8729
Te 2.7546 7.4030 -0.1875
```

Summary:
The raw formation energy comes out at -873.6 meV per atom. For the total energy, the calculation gives -3.20 eV/atom. Its space-group type is No. 12. As for the spin magnetization: 0.00 μB/f.u.

Computed, not measured: PrNd2HoMg after structural relaxation at the PBE-GGA level of DFT.

Structure (extended XYZ):
```
10
Lattice="5.7153 0.0000 0.0000 0.0000 6.1608 1.1245 0.0000 1.5453 9.4597" Properties=species:S:1:pos:R:3 pbc="T T T"
Pr 4.2865 3.1286 6.1786
Pr 1.4288 4.5774 4.4056
Nd 4.2865 5.8293 8.4188
Nd 1.4288 1.8767 2.1654
Nd 1.4288 1.0332 5.7804
Nd 4.2865 6.6729 4.8038
Ho 1.4288 5.1641 0.9676
Ho 4.2865 2.5419 9.6165
Mg 4.2865 3.8917 2.4583
Mg 1.4288 3.8144 8.1258
```

Summary:
For the total energy, the calculation gives -4.08 eV/atom. Its space-group type is No. 11. As for the spin magnetization: 0.00 μB/f.u. The formation energy from the elements comes out at 0.02 eV/atom.

Computed, not measured: Na2BeInO4 after structural relaxation at the PBE-GGA level of DFT.

Structure (extended XYZ):
```
8
Lattice="5.4233 0.0000 0.0000 2.7116 4.1574 0.0000 2.7116 0.0000 4.1574" Properties=species:S:1:pos:R:3 pbc="T T T"
Na 2.7116 2.0787 2.0787
Na 5.4233 2.0787 2.0787
Be 2.7116 0.0000 0.0000
In 0.0000 0.0000 0.0000
O 1.6521 1.3025 0.0000
O 6.4828 0.0000 2.8549
O 3.7712 0.0000 1.3025
O 4.3638 2.8549 0.0000
```

Summary:
The raw formation energy comes out at -1430.9 meV per atom. For the total energy, the calculation gives -5.05 eV/atom. Its space-group type is No. 121. As for the spin magnetization: 1.03 μB/f.u.

Computed, not measured: CePmIrAu after structural relaxation at the PBE-GGA level of DFT.

Structure (extended XYZ):
```
4
Lattice="3.9391 0.0000 0.0000 0.0000 4.1321 0.0000 -1.9696 0.0000 5.9980" Properties=species:S:1:pos:R:3 pbc="T T T"
Ce 1.9696 2.0660 4.4559
Pm 0.0000 0.0000 1.8336
Ir 0.0000 0.0000 4.7730
Au 1.9696 2.0660 0.9334
```

Summary:
For the total energy, the calculation gives -6.48 eV/atom. Its space-group type is No. 38. As for the spin magnetization: 0.00 μB/f.u. The polymorph energy (0 for the lowest one) comes out at 0.000 eV per atom. The formation energy from the elements comes out at -0.77 eV/atom.

Q: spin magnetization of number 6 (CePmIrAu)?
A: 0.00 μB/f.u.